Run 1
Ac2TlIr: relaxed, GGA-PBE.

a b c (Å): 3.7547 3.7547 8.7055
angles (deg): 90.00 90.00 90.00
Space group P4/mmm (No. 123)
Unique sites:
1 Ac 0.0000 0.0000 0.2043
2 Tl 0.5000 0.5000 0.5000
3 Ir 0.5000 0.5000 0.0000

***

Run 2
Ac2TlIr: relaxed, GGA-PBE.

a b c (Å): 4.3394 4.3394 25.8207
angles (deg): 90.00 90.00 120.00
Space group R3m (No. 160, hexagonal axes)
Unique sites:
1 Ac 0.0000 0.0000 0.0000
2 Ac 0.0000 0.0000 0.2070
3 Tl 0.0000 0.0000 0.4366
4 Ir 0.0000 0.0000 0.6033

***

Going by the computed energies, the most stable comes first: run 2, run 1.

***

Run 1
Ac4TlIr: relaxed, GGA-PBE.

a b c (Å): 5.3645 5.3645 7.9811
angles (deg): 90.00 90.00 90.00
Space group P4/mmm (No. 123)
Unique sites:
1 Ac 0.0000 0.5000 0.2235
2 Tl 0.0000 0.0000 0.5000
3 Ir 0.5000 0.5000 0.0000

***

Run 2
Ac4TlIr: relaxed, GGA-PBE.

a b c (Å): 14.9856 14.9856 14.9856
angles (deg): 90.00 90.00 90.00
Space group F-43m (No. 216)
Unique sites:
1 Ac 0.0000 0.0000 0.1891
2 Ac 0.0596 0.2500 0.2500
3 Ac 0.1532 0.1532 0.6532
4 Tl 0.0818 0.0818 0.4182
5 Ir 0.1419 0.1419 0.8581

***

Going by the computed energies, the most stable comes first: run 2, run 1.

***

Run 1
Ac3TlIr: relaxed, GGA-PBE.

a b c (Å): 5.8224 5.8224 5.8224
angles (deg): 90.00 90.00 90.00
Space group Pm-3m (No. 221)
Unique sites:
1 Ac 0.0000 0.0000 0.5000
2 Tl 0.5000 0.5000 0.5000
3 Ir 0.0000 0.0000 0.0000

***

Run 2
Ac3TlIr: relaxed, GGA-PBE.

a b c (Å): 10.1588 4.3892 16.4346
angles (deg): 90.00 90.00 90.00
Space group Pnma (No. 62)
Unique sites:
1 Ac 0.0206 0.2500 0.1062
2 Ac 0.1662 0.2500 0.5038
3 Ac 0.2140 0.7500 0.2863
4 Tl 0.0657 0.7500 0.6725
5 Ir 0.1624 0.2500 0.9426

***

Going by the computed energies, the most stable comes first: run 2, run 1.

***

Run 1
Ac6Tl5Ir: relaxed, GGA-PBE.

a b c (Å): 5.7243 17.1747 8.2034
angles (deg): 90.00 90.00 90.00
Space group C2/m (No. 12)
Unique sites:
1 Ac 0.0011 0.0000 0.2247
2 Ac 0.0006 0.3497 0.2336
3 Tl 0.0000 0.1771 0.0000
4 Tl 0.0000 0.1785 0.5000
5 Tl 0.0000 0.5000 0.5000
6 Ir 0.0000 0.5000 0.0000

***

Run 2
Ac6Tl5Ir: relaxed, GGA-PBE.

a b c (Å): 5.5112 8.8212 16.4379
angles (deg): 90.00 90.00 90.00
Space group Immm (No. 71)
Unique sites:
1 Ac 0.0000 0.2086 0.0000
2 Ac 0.0000 0.2745 0.3460
3 Tl 0.0000 0.0000 0.1927
4 Tl 0.0000 0.0000 0.5000
5 Tl 0.0000 0.5000 0.1544
6 Ir 0.0000 0.5000 0.5000

***

Going by the computed energies, the most stable comes first: run 2, run 1.